No. 1
Density functional theory data (meta-GGA SCAN) for a crystal of FeCoTc2 relaxed with PBEsol.

Geometry as POSCAR:
```
FeCoTc2
1.0
-0.289 -1.374 -2.148
2.803 -2.495 1.220
-3.128 -1.945 3.208
Tc Fe Co
2 1 1
Direct
0.709 0.500 0.295 Tc
0.041 0.000 0.955 Tc
0.442 0.500 0.757 Fe
0.308 0.000 0.492 Co
```

Summary:
- symmetry = No. 6
- ΔH_f (0 K) (eV per atom) = 0.153
- DFT total energy (eV per cell) = -104.94
- DOS at the Fermi energy (states/eV per atom) = 0.788
- V (Å³ per atom) = 11.93

***

No. 2
Density functional theory data (meta-GGA SCAN) for a crystal of TiFe2CoTc relaxed with PBEsol.

Geometry as POSCAR:
```
TiFe2CoTc
1.0
4.289 0.000 0.000
0.000 4.289 0.000
0.000 0.000 4.519
Ti Tc Co Fe
1 1 1 2
Direct
0.000 0.000 0.500 Ti
0.000 0.000 0.000 Tc
0.500 0.500 0.500 Co
0.500 0.000 0.000 Fe
0.000 0.500 0.000 Fe
```

Summary:
- symmetry = No. 123
- ΔH_f (0 K) (eV per atom) = 1.366
- DFT total energy (eV per cell) = -97.82
- DOS at the Fermi energy (states/eV per atom) = 0.956
- V (Å³ per atom) = 16.63

***

No. 3
Density functional theory data (meta-GGA SCAN) for a crystal of FeCo2Te relaxed with PBEsol.

Geometry as POSCAR:
```
FeCo2Te
1.0
-1.481 2.595 0.249
-1.468 0.652 2.532
5.012 4.248 3.588
Co Fe Te
2 1 1
Direct
0.756 0.756 0.731 Co
0.244 0.244 0.269 Co
0.500 0.500 0.500 Fe
0.000 0.000 0.000 Te
```

Summary:
- symmetry = No. 166
- DFT total energy (eV per cell) = -88.04
- DOS at the Fermi energy (states/eV per atom) = 0.718
- V (Å³ per atom) = 14.18

***

No. 4
Density functional theory data (meta-GGA SCAN) for a crystal of FeCo2Te relaxed with PBEsol.

Geometry as POSCAR:
```
FeCo2Te
1.0
-0.092 3.143 0.797
-3.091 -0.325 0.927
1.537 -1.152 4.720
Te Co Fe
1 2 1
Direct
0.500 0.500 0.775 Te
0.000 0.000 0.997 Co
0.500 0.500 0.270 Co
0.000 0.000 0.458 Fe
```

Summary:
- symmetry = No. 99
- DFT total energy (eV per cell) = -88.65
- DOS at the Fermi energy (states/eV per atom) = 0.542
- V (Å³ per atom) = 13.40

***

No. 5
Density functional theory data (meta-GGA SCAN) for a crystal of Fe2CoTe relaxed with PBEsol.

Geometry as POSCAR:
```
Fe2CoTe
1.0
3.075 0.000 0.000
1.538 2.663 0.000
1.538 0.888 7.152
Te Co Fe
1 1 2
Direct
0.500 0.500 0.500 Te
0.000 0.000 0.000 Co
0.740 0.740 0.780 Fe
0.260 0.260 0.220 Fe
```

Summary:
- symmetry = No. 166
- DFT total energy (eV per cell) = -88.82
- DOS at the Fermi energy (states/eV per atom) = 0.686
- V (Å³ per atom) = 14.64

***

No. 6
Density functional theory data (meta-GGA SCAN) for a crystal of Fe2CoTe relaxed with PBEsol.

Geometry as POSCAR:
```
Fe2CoTe
1.0
-0.465 0.691 2.922
-2.800 -2.167 0.068
2.992 -3.822 1.380
Fe Te Co
2 1 1
Direct
0.000 0.000 0.273 Fe
0.000 0.000 0.727 Fe
0.500 0.500 0.000 Te
0.500 0.500 0.500 Co
```

Summary:
- symmetry = No. 47
- DFT total energy (eV per cell) = -89.50
- DOS at the Fermi energy (states/eV per atom) = 0.752
- V (Å³ per atom) = 13.58

***

No. 7
Density functional theory data (meta-GGA SCAN) for a crystal of FeCo2Te relaxed with PBEsol.

Geometry as POSCAR:
```
FeCo2Te
1.0
-2.791 -1.557 -2.647
-0.993 -4.026 0.163
-3.740 -1.160 1.373
Co Te Fe
2 1 1
Direct
0.000 0.000 0.000 Co
0.250 0.250 0.250 Co
0.750 0.750 0.750 Te
0.500 0.500 0.500 Fe
```

Summary:
- symmetry = No. 216
- DFT total energy (eV per cell) = -88.91
- DOS at the Fermi energy (states/eV per atom) = 0.624
- V (Å³ per atom) = 12.63

***

No. 8
Density functional theory data (meta-GGA SCAN) for a crystal of Fe2CoTe relaxed with PBEsol.

Geometry as POSCAR:
```
Fe2CoTe
1.0
-2.848 0.665 -0.735
-1.969 -2.215 -0.563
-3.456 -0.660 6.605
Co Fe Te
1 2 1
Direct
0.256 0.256 0.231 Co
0.744 0.744 0.768 Fe
0.999 0.999 0.003 Fe
0.500 0.500 0.499 Te
```

Summary:
- symmetry = No. 160
- DFT total energy (eV per cell) = -88.85
- DOS at the Fermi energy (states/eV per atom) = 0.633
- V (Å³ per atom) = 14.33

***

No. 9
Density functional theory data (meta-GGA SCAN) for a crystal of ThFe3Co2 relaxed with PBEsol.

Geometry as POSCAR:
```
ThFe3Co2
1.0
3.993 0.000 0.000
0.000 4.942 0.000
0.000 -2.471 4.280
Fe Co Th
3 2 1
Direct
0.500 0.500 0.500 Fe
0.500 0.500 0.000 Fe
0.500 0.000 0.500 Fe
0.000 0.333 0.667 Co
0.000 0.667 0.333 Co
0.000 0.000 0.000 Th
```

Summary:
- symmetry = No. 191
- ΔH_f (0 K) (eV per atom) = -0.041
- DFT total energy (eV per cell) = -185.16
- DOS at the Fermi energy (states/eV per atom) = 1.021
- V (Å³ per atom) = 14.08

***

No. 10
Density functional theory data (meta-GGA SCAN) for a crystal of TlFeCo2 relaxed with PBEsol.

Geometry as POSCAR:
```
TlFeCo2
1.0
3.700 0.000 0.000
0.000 3.700 0.000
-1.850 -1.850 3.839
Tl Co Fe
1 2 1
Direct
0.250 0.750 0.500 Tl
0.000 0.000 0.000 Co
0.750 0.250 0.500 Co
0.500 0.500 0.000 Fe
```

Summary:
- symmetry = No. 119
- ΔH_f (0 K) (eV per atom) = 0.388
- DFT total energy (eV per cell) = -123.54
- DOS at the Fermi energy (states/eV per atom) = 0.679
- V (Å³ per atom) = 13.14

***

No. 11
Density functional theory data (meta-GGA SCAN) for a crystal of Tl3FeCo relaxed with PBEsol.

Geometry as POSCAR:
```
Tl3FeCo
1.0
4.917 0.000 0.000
0.000 4.917 0.000
0.000 0.000 4.917
Tl Co Fe
3 1 1
Direct
0.000 0.500 0.000 Tl
0.500 0.000 0.000 Tl
0.000 0.000 0.500 Tl
0.000 0.000 0.000 Co
0.500 0.500 0.500 Fe
```

Summary:
- symmetry = No. 221
- ΔH_f (0 K) (eV per atom) = 0.771
- DFT total energy (eV per cell) = -248.65
- DOS at the Fermi energy (states/eV per atom) = 1.128
- V (Å³ per atom) = 23.78

***

No. 12
Density functional theory data (meta-GGA SCAN) for a crystal of Tl2FeCo relaxed with PBEsol.

Geometry as POSCAR:
```
Tl2FeCo
1.0
3.873 0.000 0.000
0.000 3.873 0.000
-1.937 -1.937 4.452
Tl Co Fe
2 1 1
Direct
0.750 0.250 0.500 Tl
0.000 0.000 0.000 Tl
0.500 0.500 0.000 Co
0.250 0.750 0.500 Fe
```

Summary:
- symmetry = No. 119
- ΔH_f (0 K) (eV per atom) = 0.691
- DFT total energy (eV per cell) = -177.38
- DOS at the Fermi energy (states/eV per atom) = 0.853
- V (Å³ per atom) = 16.70

***

Repeat the eighth record exactly.
Density functional theory data (meta-GGA SCAN) for a crystal of Fe2CoTe relaxed with PBEsol.

Geometry as POSCAR:
```
Fe2CoTe
1.0
-2.848 0.665 -0.735
-1.969 -2.215 -0.563
-3.456 -0.660 6.605
Co Fe Te
1 2 1
Direct
0.256 0.256 0.231 Co
0.744 0.744 0.768 Fe
0.999 0.999 0.003 Fe
0.500 0.500 0.499 Te
```

Summary:
- symmetry = No. 160
- DFT total energy (eV per cell) = -88.85
- DOS at the Fermi energy (states/eV per atom) = 0.633
- V (Å³ per atom) = 14.33